<w>
An optimized crystal structure of Ni2BrCl, computed with PBE.

Its total moment is 1.4 Bohr magnetons per cell. The density of states at the Fermi level comes out at 6.5 states/eV/cell. The density is 4.93 g/cm3.

It has space group Pmmm (No. 47), with a = 3.3672 Å, b = 3.4339 Å, c = 6.7739 Å, α = 90.00°, β = 90.00° and γ = 90.00°. Symmetry generates all atoms from Ni at (0.0000, 0.0000, 0.0000), Ni at (0.5000, 0.0000, 0.5000), Br at (0.0000, 0.5000, 0.5000) and Cl at (0.5000, 0.5000, 0.0000).

<x>
An optimized crystal structure of Ni2BrCl, computed with PBE.

Its total moment is 8.4 Bohr magnetons per cell. The density of states at the Fermi level comes out at 15.0 states/eV/cell. The density is 5.63 g/cm3.

It has space group F-43m (No. 216), with a = 6.5010 Å, b = 6.5010 Å, c = 6.5010 Å, α = 90.00°, β = 90.00° and γ = 90.00°. Symmetry generates all atoms from Ni at (0.0000, 0.0000, 0.0000), Ni at (0.2500, 0.2500, 0.2500), Br at (0.0000, 0.0000, 0.5000) and Cl at (0.2500, 0.2500, 0.7500).

Energy above the most stable structure, in meV/atom: <w> 0; <x> 560

<w>
An optimized crystal structure of Ni2BrCl, computed with PBE.

Its total moment is 2.0 Bohr magnetons per cell. The density of states at the Fermi level comes out at 0.4 states/eV/cell. The density is 4.48 g/cm3.

It has space group Pm (No. 6), with a = 3.7250 Å, b = 3.4818 Å, c = 6.6590 Å, α = 90.00°, β = 91.00° and γ = 90.00°. Symmetry generates all atoms from Ni at (0.0000, 0.0000, 0.0000), Ni at (0.4934, 0.5000, 0.9061), Br at (0.8118, 0.5000, 0.2186) and Cl at (0.3038, 0.0000, 0.7140).

<x>
An optimized crystal structure of Ni2BrCl, computed with PBE.

Its total moment is 0.6 Bohr magnetons per cell. The density of states at the Fermi level comes out at 7.8 states/eV/cell. The density is 4.92 g/cm3.

It has space group R3m (No. 160, hexagonal axes), with a = 3.5430 Å, b = 3.5430 Å, c = 21.6845 Å, α = 90.00°, β = 90.00° and γ = 120.00°. Symmetry generates all atoms from Ni at (0.0000, 0.0000, 0.0000), Ni at (0.0000, 0.0000, 0.2707), Br at (0.0000, 0.0000, 0.5480) and Cl at (0.0000, 0.0000, 0.7150).

<y>
An optimized crystal structure of Ni2BrCl, computed with PBE.

Its total moment is 8.0 Bohr magnetons per cell. The density of states at the Fermi level comes out at 21.0 states/eV/cell. The density is 4.92 g/cm3.

It has space group I-42d (No. 122), with a = 5.3594 Å, b = 5.3594 Å, c = 10.9416 Å, α = 90.00°, β = 90.00° and γ = 90.00°. Symmetry generates all atoms from Ni at (0.2196, 0.2500, 0.1250), Br at (0.0000, 0.0000, 0.5000) and Cl at (0.0000, 0.0000, 0.0000).

Energy above the most stable structure, in meV/atom: <w> 16; <x> 0; <y> 170

<w>
An optimized crystal structure of Ni2BrCl, computed with PBE.

Its total moment is 2.3 Bohr magnetons per cell. The density of states at the Fermi level comes out at 14.2 states/eV/cell. The density is 4.03 g/cm3.

It has space group Cmm2 (No. 35), with a = 3.7822 Å, b = 7.0233 Å, c = 7.2290 Å, α = 90.00°, β = 90.00° and γ = 90.00°. Symmetry generates all atoms from Ni at (0.0000, 0.0000, 0.0000), Ni at (0.0000, 0.5000, 0.1831), Br at (0.0000, 0.5000, 0.8134) and Cl at (0.0000, 0.0000, 0.3351).

<x>
An optimized crystal structure of Ni2BrCl, computed with PBE.

Its total moment is 1.9 Bohr magnetons per cell. The density of states at the Fermi level comes out at 13.9 states/eV/cell. The density is 4.94 g/cm3.

It has space group Cmmm (No. 65), with a = 3.3526 Å, b = 6.8982 Å, c = 6.7596 Å, α = 90.00°, β = 90.00° and γ = 90.00°. Symmetry generates all atoms from Ni at (0.0000, 0.0000, 0.2353), Br at (0.0000, 0.5000, 0.5000) and Cl at (0.0000, 0.5000, 0.0000).

<y>
An optimized crystal structure of Ni2BrCl, computed with PBE.

Its total moment is 2.0 Bohr magnetons per cell. The density of states at the Fermi level comes out at 5.0 states/eV/cell. The density is 6.02 g/cm3.

It has space group P4/mmm (No. 123), with a = 4.4860 Å, b = 4.4860 Å, c = 3.1880 Å, α = 90.00°, β = 90.00° and γ = 90.00°. Symmetry generates all atoms from Ni at (0.0000, 0.5000, 0.0000), Br at (0.0000, 0.0000, 0.5000) and Cl at (0.5000, 0.5000, 0.5000).

Energy above the most stable structure, in meV/atom: <w> 0; <x> 223; <y> 464

<w>
An optimized crystal structure of Ni2BrCl, computed with PBE.

Its total moment is 3.9 Bohr magnetons per cell. The density of states at the Fermi level comes out at 7.1 states/eV/cell. The density is 4.81 g/cm3.

It has space group Imm2 (No. 44), with a = 3.2677 Å, b = 3.4157 Å, c = 14.4109 Å, α = 90.00°, β = 90.00° and γ = 90.00°. Symmetry generates all atoms from Ni at (0.0000, 0.0000, 0.0000), Ni at (0.0000, 0.5000, 0.3649), Br at (0.0000, 0.0000, 0.5576) and Cl at (0.0000, 0.5000, 0.8206).

<x>
An optimized crystal structure of Ni2BrCl, computed with PBE.

Its total moment is 1.1 Bohr magnetons per cell. The density of states at the Fermi level comes out at 5.9 states/eV/cell. The density is 4.89 g/cm3.

It has space group P2/m (No. 10), with a = 4.8593 Å, b = 3.2928 Å, c = 4.9476 Å, α = 90.00°, β = 92.52° and γ = 90.00°. Symmetry generates all atoms from Ni at (0.1618, 0.0000, 0.3119), Br at (0.5000, 0.5000, 0.5000) and Cl at (0.0000, 0.5000, 0.0000).

Energy above the most stable structure, in meV/atom: <w> 0; <x> 55

<w>
An optimized crystal structure of NiBr2Cl, computed with PBE.

Its total moment is 6.9 Bohr magnetons per cell. The density of states at the Fermi level comes out at 6.9 states/eV/cell. The density is 3.96 g/cm3.

It has space group R3m (No. 160, hexagonal axes), with a = 3.4677 Å, b = 3.4677 Å, c = 30.6521 Å, α = 90.00°, β = 90.00° and γ = 120.00°. Symmetry generates all atoms from Ni at (0.0000, 0.0000, 0.0000), Br at (0.0000, 0.0000, 0.5039), Br at (0.0000, 0.0000, 0.7154) and Cl at (0.0000, 0.0000, 0.2913).

<x>
An optimized crystal structure of NiBr2Cl, computed with PBE.

Its total moment is 12.0 Bohr magnetons per cell. The density of states at the Fermi level comes out at 4.7 states/eV/cell. The density is 3.81 g/cm3.

It has space group I-42d (No. 122), with a = 7.0346 Å, b = 7.0346 Å, c = 8.9519 Å, α = 90.00°, β = 90.00° and γ = 90.00°. Symmetry generates all atoms from Ni at (0.0000, 0.0000, 0.0000), Br at (0.1570, 0.2500, 0.1250) and Cl at (0.0000, 0.0000, 0.5000).

Energy above the most stable structure, in meV/atom: <w> 0; <x> 224

<w>
An optimized crystal structure of Ni3BrCl, computed with PBE.

Its total moment is 2.0 Bohr magnetons per cell. The density of states at the Fermi level comes out at 11.2 states/eV/cell. The density is 5.25 g/cm3.

It has space group Pm-3m (No. 221), with a = 4.5166 Å, b = 4.5166 Å, c = 4.5166 Å, α = 90.00°, β = 90.00° and γ = 90.00°. Symmetry generates all atoms from Ni at (0.0000, 0.0000, 0.5000), Br at (0.0000, 0.0000, 0.0000) and Cl at (0.5000, 0.5000, 0.5000).

<x>
An optimized crystal structure of Ni3BrCl, computed with PBE.

Its total moment is 2.0 Bohr magnetons per cell. The density of states at the Fermi level comes out at 5.5 states/eV/cell. The density is 5.95 g/cm3.

It has space group Pm-3m (No. 221), with a = 4.3335 Å, b = 4.3335 Å, c = 4.3335 Å, α = 90.00°, β = 90.00° and γ = 90.00°. Symmetry generates all atoms from Ni at (0.0000, 0.0000, 0.5000), Br at (0.5000, 0.5000, 0.5000) and Cl at (0.0000, 0.0000, 0.0000).

Energy above the most stable structure, in meV/atom: <w> 176; <x> 0

<w>
An optimized crystal structure of Rb2NiBrCl6, computed with PBE.

Its total moment is 0.0 Bohr magnetons per cell. The density of states at the Fermi level comes out at 3.9 states/eV/cell. The density is 3.14 g/cm3.

It has space group I4/mmm (No. 139), with a = 7.7937 Å, b = 7.7937 Å, c = 9.0939 Å, α = 90.00°, β = 90.00° and γ = 90.00°. Symmetry generates all atoms from Rb at (0.0000, 0.5000, 0.2500), Ni at (0.0000, 0.0000, 0.0000), Br at (0.0000, 0.0000, 0.5000), Cl at (0.0000, 0.0000, 0.2446) and Cl at (0.2050, 0.2050, 0.0000).

<x>
An optimized crystal structure of Rb2NiBrCl6, computed with PBE.

Its total moment is 0.0 Bohr magnetons per cell. The density of states at the Fermi level comes out at 8.0 states/eV/cell. The density is 2.95 g/cm3.

It has space group Pmmn (No. 59, origin choice 2), with a = 7.5296 Å, b = 9.6520 Å, c = 8.1005 Å, α = 90.00°, β = 90.00° and γ = 90.00°. Symmetry generates all atoms from Rb at (0.2500, 0.0039, 0.2340), Ni at (0.2500, 0.7500, 0.7613), Br at (0.2500, 0.2500, 0.7271), Cl at (0.0394, 0.7500, 0.9573), Cl at (0.0423, 0.7500, 0.5661) and Cl at (0.2500, 0.0004, 0.7868).

Energy above the most stable structure, in meV/atom: <w> 45; <x> 0

<w>
An optimized crystal structure of NiSeBr2Cl, computed with PBE.

Its total moment is 1.3 Bohr magnetons per cell. The density of states at the Fermi level comes out at 4.8 states/eV/cell. The density is 4.17 g/cm3.

It has space group P4/mmm (No. 123), with a = 5.1559 Å, b = 5.1559 Å, c = 4.9920 Å, α = 90.00°, β = 90.00° and γ = 90.00°. Symmetry generates all atoms from Ni at (0.0000, 0.0000, 0.0000), Se at (0.5000, 0.5000, 0.0000), Br at (0.0000, 0.5000, 0.5000) and Cl at (0.5000, 0.5000, 0.5000).

<x>
An optimized crystal structure of NiSeBr2Cl, computed with PBE.

Its total moment is 0.0 Bohr magnetons per cell. The density of states at the Fermi level comes out at 7.1 states/eV/cell. The density is 4.86 g/cm3.

It has space group P4/mmm (No. 123), with a = 4.9322 Å, b = 4.9322 Å, c = 4.6801 Å, α = 90.00°, β = 90.00° and γ = 90.00°. Symmetry generates all atoms from Ni at (0.0000, 0.0000, 0.0000), Se at (0.0000, 0.0000, 0.5000), Br at (0.0000, 0.5000, 0.0000) and Cl at (0.5000, 0.5000, 0.5000).

Energy above the most stable structure, in meV/atom: <w> 779; <x> 0

<w>
An optimized crystal structure of NpBrCl3, computed with PBE.

Its total moment is 18.0 Bohr magnetons per cell. The density of states at the Fermi level comes out at 40.7 states/eV/cell. The density is 3.96 g/cm3.

It has space group R-3 (No. 148, hexagonal axes), with a = 7.2671 Å, b = 7.2671 Å, c = 23.2848 Å, α = 90.00°, β = 90.00° and γ = 120.00°. Symmetry generates all atoms from Np at (0.0000, 0.0000, 0.1927), Br at (0.0000, 0.0000, 0.3082) and Cl at (0.0116, 0.2892, 0.1168).

<x>
An optimized crystal structure of NpBrCl3, computed with PBE.

Its total moment is 6.0 Bohr magnetons per cell. The density of states at the Fermi level comes out at 19.6 states/eV/cell. The density is 3.76 g/cm3.

It has space group P2_1/m (No. 11), with a = 6.6999 Å, b = 8.2265 Å, c = 6.7970 Å, α = 90.00°, β = 93.31° and γ = 90.00°. Symmetry generates all atoms from Np at (0.0004, 0.2500, 0.0007), Br at (0.2766, 0.7500, 0.2965), Cl at (0.1887, 0.0002, 0.8317) and Cl at (0.2593, 0.2500, 0.2782).

Energy above the most stable structure, in meV/atom: <w> 18; <x> 0

<w>
An optimized crystal structure of Br3ClO, computed with PBE.

Its total moment is 1.9 Bohr magnetons per cell. The density of states at the Fermi level comes out at 7.5 states/eV/cell. The density is 4.34 g/cm3.

It has space group Pm-3m (No. 221), with a = 4.8114 Å, b = 4.8114 Å, c = 4.8114 Å, α = 90.00°, β = 90.00° and γ = 90.00°. Symmetry generates all atoms from Br at (0.0000, 0.0000, 0.5000), Cl at (0.5000, 0.5000, 0.5000) and O at (0.0000, 0.0000, 0.0000).

<x>
An optimized crystal structure of Br3ClO, computed with PBE.

Its total moment is 0.0 Bohr magnetons per cell. The density of states at the Fermi level comes out at 23.7 states/eV/cell. The density is 3.40 g/cm3.

It has space group Pm-3m (No. 221), with a = 5.2221 Å, b = 5.2221 Å, c = 5.2221 Å, α = 90.00°, β = 90.00° and γ = 90.00°. Symmetry generates all atoms from Br at (0.0000, 0.0000, 0.5000), Cl at (0.0000, 0.0000, 0.0000) and O at (0.5000, 0.5000, 0.5000).

Energy above the most stable structure, in meV/atom: <w> 0; <x> 493

<w>
An optimized crystal structure of S2BrClO, computed with PBE.

Its total moment is 0.0 Bohr magnetons per cell. The density of states at the Fermi level comes out at 5.5 states/eV/cell. The density is 3.67 g/cm3.

It has space group P4/mmm (No. 123), with a = 4.3560 Å, b = 4.3560 Å, c = 4.6653 Å, α = 90.00°, β = 90.00° and γ = 90.00°. Symmetry generates all atoms from S at (0.0000, 0.5000, 0.0000), Br at (0.0000, 0.0000, 0.5000), Cl at (0.5000, 0.5000, 0.5000) and O at (0.5000, 0.5000, 0.0000).

<x>
An optimized crystal structure of S2BrClO, computed with PBE.

Its total moment is 1.1 Bohr magnetons per cell. The density of states at the Fermi level comes out at 9.1 states/eV/cell. The density is 2.65 g/cm3.

It has space group P4/mmm (No. 123), with a = 4.8910 Å, b = 4.8910 Å, c = 5.1226 Å, α = 90.00°, β = 90.00° and γ = 90.00°. Symmetry generates all atoms from S at (0.0000, 0.5000, 0.0000), Br at (0.0000, 0.0000, 0.0000), Cl at (0.0000, 0.0000, 0.5000) and O at (0.5000, 0.5000, 0.5000).

Energy above the most stable structure, in meV/atom: <w> 0; <x> 532

<w>
An optimized crystal structure of SBrCl2O, computed with PBE.

Its total moment is 2.6 Bohr magnetons per cell. The density of states at the Fermi level comes out at 5.5 states/eV/cell. The density is 2.47 g/cm3.

It has space group P4/mmm (No. 123), with a = 6.3786 Å, b = 6.3786 Å, c = 3.2843 Å, α = 90.00°, β = 90.00° and γ = 90.00°. Symmetry generates all atoms from S at (0.0000, 0.0000, 0.0000), Br at (0.5000, 0.5000, 0.0000), Cl at (0.0000, 0.5000, 0.5000) and O at (0.0000, 0.0000, 0.5000).

<x>
An optimized crystal structure of SBrCl2O, computed with PBE.

Its total moment is 0.3 Bohr magnetons per cell. The density of states at the Fermi level comes out at 10.0 states/eV/cell. The density is 2.53 g/cm3.

It has space group P4/mmm (No. 123), with a = 5.1537 Å, b = 5.1537 Å, c = 4.9141 Å, α = 90.00°, β = 90.00° and γ = 90.00°. Symmetry generates all atoms from S at (0.0000, 0.0000, 0.0000), Br at (0.0000, 0.0000, 0.5000), Cl at (0.0000, 0.5000, 0.5000) and O at (0.5000, 0.5000, 0.0000).

Energy above the most stable structure, in meV/atom: <w> 0; <x> 708